[1]
VASP calculation (GGA-PBE) on a relaxed structure of SbMoS2Cl.

Cell: 4.759 4.759 4.797 Å, 90.00 90.00 90.00°
Atoms (fractional coordinates):
Sb: 0.000 0.000 0.000
Mo: 0.500 0.500 0.500
S: 0.000 0.500 0.500
S: 0.500 0.000 0.500
Cl: 0.500 0.500 0.000

## Properties
Symmetry   P4/mmm, No. 123
ρ   4.850 g/cm³

=====

[2]
VASP calculation (GGA-PBE) on a relaxed structure of ScMoSCl2.

Cell: 4.902 4.902 4.605 Å, 90.00 90.00 90.00°
Atoms (fractional coordinates):
Sc: 0.000 0.000 0.000
Mo: 0.500 0.500 0.500
S: 0.500 0.500 0.000
Cl: 0.000 0.500 0.500
Cl: 0.500 0.000 0.500

## Properties
Symmetry   P4/mmm, No. 123
ρ   3.660 g/cm³

=====

[3]
VASP calculation (GGA-PBE) on a relaxed structure of ScMoS2Cl.

Cell: 4.696 4.696 4.815 Å, 90.00 90.00 90.00°
Atoms (fractional coordinates):
Sc: 0.000 0.000 0.000
Mo: 0.500 0.500 0.500
S: 0.000 0.500 0.500
S: 0.500 0.000 0.500
Cl: 0.500 0.500 0.000

## Properties
Symmetry   P4/mmm, No. 123
ρ   3.762 g/cm³

=====

[4]
VASP calculation (GGA-PBE) on a relaxed structure of ScMoS2Cl.

Cell: 4.971 4.971 4.755 Å, 90.00 90.00 90.00°
Atoms (fractional coordinates):
Sc: 0.000 0.000 0.000
Mo: 0.500 0.500 0.500
S: 0.000 0.500 0.000
S: 0.500 0.000 0.000
Cl: 0.000 0.000 0.500

## Properties
Symmetry   P4/mmm, No. 123
ρ   3.399 g/cm³

=====

[5]
VASP calculation (GGA-PBE) on a relaxed structure of ScMoSCl2.

Cell: 4.443 4.443 5.972 Å, 90.00 90.00 90.00°
Atoms (fractional coordinates):
Sc: 0.000 0.000 0.000
Mo: 0.000 0.000 0.500
S: 0.500 0.500 0.000
Cl: 0.000 0.500 0.500
Cl: 0.500 0.000 0.500

## Properties
Symmetry   P4/mmm, No. 123
ρ   3.435 g/cm³

=====

[6]
VASP calculation (GGA-PBE) on a relaxed structure of ScMoSCl2.

Cell: 4.942 4.942 5.027 Å, 90.00 90.00 90.00°
Atoms (fractional coordinates):
Sc: 0.000 0.000 0.000
Mo: 0.500 0.500 0.500
S: 0.000 0.000 0.500
Cl: 0.000 0.500 0.000
Cl: 0.500 0.000 0.000

## Properties
Symmetry   P4/mmm, No. 123
ρ   3.299 g/cm³

=====

[7]
VASP calculation (GGA-PBE) on a relaxed structure of SnMoS2Cl.

Cell: 4.693 4.693 5.012 Å, 90.00 90.00 90.00°
Atoms (fractional coordinates):
Sn: 0.000 0.000 0.000
Mo: 0.500 0.500 0.500
S: 0.000 0.500 0.500
S: 0.500 0.000 0.500
Cl: 0.500 0.500 0.000

## Properties
Symmetry   P4/mmm, No. 123
ρ   4.727 g/cm³

=====

[8]
VASP calculation (GGA-PBE) on a relaxed structure of SnMoS2Cl.

Cell: 5.055 5.055 5.026 Å, 90.00 90.00 90.00°
Atoms (fractional coordinates):
Sn: 0.000 0.000 0.000
Mo: 0.500 0.500 0.500
S: 0.000 0.500 0.000
S: 0.500 0.000 0.000
Cl: 0.000 0.000 0.500

## Properties
Symmetry   P4/mmm, No. 123
ρ   4.063 g/cm³

=====

| no. | Fermi-level density of states (states/eV per atom) | formation energy without anion corrections (eV per atom) | energy above the most stable polymorph in this dataset (eV/atom) |
| --- | --- | --- | --- |
| 1 | 0.632 | 0.107 | 0.000 |
| 2 | 0.990 | -0.194 | 0.223 |
| 3 | 0.830 | -0.291 | 0.000 |
| 4 | 0.345 | -0.217 | 0.074 |
| 5 | 0.432 | -0.218 | 0.198 |
| 6 | 0.227 | -0.417 | 0.000 |
| 7 | 0.525 | -0.145 | 0.000 |
| 8 | 0.752 | 0.671 | 0.816 |